LuAg3 (PBE-GGA, relaxed); E above lowest polymorph = 0 meV/atom; space-group type = I4/mmm; magnetization = 0.00 μB per cell; electronic total energy = -14.0 eV for the cell shown; DFT formation energy = -0.22 eV per atom
1.0
4.341 0.000 0.000
0.000 4.341 0.000
-2.170 -2.170 4.209
Lu Ag
1 3
direct
0.000 0.000 0.000
0.500 0.500 0.000
0.250 0.750 0.500
0.750 0.250 0.500